Entry from Alexandria via LeMat-Bulk: an optimized crystal structure of TiRuN2 (GGA-PBE).

It has space group R-3m (No. 166, hexagonal axes), with a = 2.9824 Å, b = 2.9824 Å, c = 18.2190 Å, α = 90.00°, β = 90.00° and γ = 120.00°. The inequivalent atoms are Ti at (0.0000, 0.0000, 0.0000), Ru at (0.0000, 0.0000, 0.5000) and N at (0.0000, 0.0000, 0.3944).

The value obtained for the spin magnetization is 0.379 μB per atom. The calculation puts the offset from the most stable computed form at 0.200 eV/atom. The density of states at the Fermi level comes out at 9.5 states/eV per cell. The value obtained for the formation energy from raw total energies is -0.3191 eV/atom.